(1)
Computed, not measured: a geometry-optimized Pr2Cd5Hg structure at the PBE level of DFT.

Summary:
ΔE to the lowest computed polymorph = 0.0063 eV per atom
ΔH_f (0 K) = -0.2659 eV/atom

abc: 6.711 6.711 6.711
angles: 87.97 121.18 121.18
Fractional coordinates of all 8 atoms:
1 Pr 0.500 0.278 0.778
2 Pr 0.500 0.778 0.278
3 Cd 0.500 0.778 0.778
4 Cd 0.000 0.778 0.278
5 Cd 0.000 0.278 0.778
6 Cd 0.500 0.278 0.278
7 Cd 0.000 0.278 0.278
8 Hg 0.000 0.778 0.778

=====

(2)
Computed, not measured: a geometry-optimized PrCd3Hg7 structure at the PBE level of DFT.

Summary:
ΔH_f (0 K) = -0.0291 eV/atom

abc: 6.299 8.388 8.388
angles: 79.35 124.26 124.26
Fractional coordinates of all 11 atoms:
1 Pr 0.500 0.500 0.500
2 Cd 0.000 0.765 0.235
3 Cd 0.500 0.000 0.000
4 Cd 0.000 0.235 0.765
5 Hg 0.286 0.185 0.185
6 Hg 0.316 0.046 0.594
7 Hg 0.684 0.406 0.954
8 Hg 0.316 0.594 0.046
9 Hg 0.000 0.500 0.500
10 Hg 0.684 0.954 0.406
11 Hg 0.714 0.815 0.815

=====

(3)
Computed, not measured: a geometry-optimized Pr5Cd4Hg structure at the PBE level of DFT.

Summary:
ΔH_f (0 K) = -0.3480 eV/atom

abc: 3.880 3.880 19.399
angles: 90.00 90.00 90.00
Each line ends with the local moment (μB).
Fractional coordinates of all 10 atoms:
1 Pr 0.500 0.500 0.099  0.23
2 Pr 0.500 0.500 0.299  0.16
3 Pr 0.500 0.500 0.500  0.16
4 Pr 0.500 0.500 0.701  0.16
5 Pr 0.500 0.500 0.901  0.23
6 Cd 0.000 0.000 0.201  0.01
7 Cd 0.000 0.000 0.400  0.01
8 Cd 0.000 0.000 0.600  0.01
9 Cd 0.000 0.000 0.799  0.01
10 Hg 0.000 0.000 0.000  0.02